# 1
MgCdRe2As4 | PBE | optimized geometry

Properties
total moment = 0.01 μB per formula unit
volume = 201 Å³ per cell

Cell: 7.064 7.064 7.064 Å, 130.14 130.14 73.18°
Sites, in units of the cell vectors:
Re1 0.500 0.500 0.000
Re2 0.750 0.250 0.500
Mg1 0.250 0.750 0.500
Cd1 0.000 0.000 0.000
As1 0.127 0.576 0.957
As2 0.424 0.381 0.551
As3 0.619 0.170 0.043
As4 0.830 0.873 0.449

***

# 2
KIrPdS3 | PBE | optimized geometry

Properties
total moment = 0.02 μB per formula unit
volume = 262 Å³ per cell

Cell: 7.841 3.694 9.421 Å, 90.00 106.04 90.00°
Sites, in units of the cell vectors:
S1 0.362 0.250 0.141
S2 0.036 0.750 0.879
S3 0.638 0.750 0.859
Ir1 0.165 0.750 0.142
S4 0.214 0.750 0.404
Pd1 0.604 0.750 0.582
K1 0.281 0.250 0.743
Ir2 0.835 0.250 0.858
S5 0.964 0.250 0.121
Pd2 0.396 0.250 0.418
K2 0.719 0.750 0.257
S6 0.786 0.250 0.596

***

# 3
NaInCoSb | PBE | optimized geometry

Properties
total moment = 0.13 μB per formula unit
volume = 76 Å³ per cell

Cell: 4.745 4.745 4.745 Å, 60.00 60.00 60.00°
Sites, in units of the cell vectors:
In1 0.000 0.000 0.000
Na1 0.750 0.750 0.750
Sb1 0.500 0.500 0.500
Co1 0.250 0.250 0.250

***

The calculation returns the following raw total energy values, one per record and in order: -5.44 -5.06 -3.64 eV/atom.